DFT (GGA-PBE) results for a geometry-optimized Ta8Tc structure.

Formation energy from the elements ... -11.1 kJ/mol of atoms
N(E_F) ... 20.568 states/eV/cell
Total energy ... -11.80 eV per atom
Calculated density ... 16.06 g cm⁻³

Unit cell a=9.9033 b=9.9033 c=3.2595 alpha=90.00 beta=90.00 gamma=90.00
Last column: nearest neighbours and their distance in Å.
Space group I4/mmm (No. 139)
One atom of each set of equivalent atoms:
Ta 0.0000 0.3339 0.0000 [8 per cell]  8 Ta 2.84-2.85
Ta 0.1623 0.1623 0.5000 [8 per cell]  2 Tc 2.80, 6 Ta 2.85-2.95
Tc 0.0000 0.0000 0.0000 [2 per cell]  8 Ta 2.80